Record 1
# Li2TbAgBr6

Li2TbAgBr6 after structural relaxation (PBE, the Alexandria database).

a b c (Å): 7.0415 7.0413 7.6256
angles (deg): 62.50 62.52 59.98
Closest atoms and distances in Å follow each position.
Positions (direct):
Br 0.1214 0.3920 0.7462  2 Li 2.76-2.89, 1 Ag 2.79, 1 Tb 2.85
Li 0.5157 0.5156 0.4532  6 Br 2.73-2.89
Tb 0.3235 0.3235 0.0294  6 Br 2.81-2.85
Br 0.2385 0.9125 0.2447  2 Li 2.73-2.81, 1 Tb 2.81
Br 0.7404 0.1214 0.7463  2 Li 2.76-2.89, 1 Ag 2.79, 1 Tb 2.85
Br 0.6044 0.2382 0.2450  2 Li 2.73-2.81, 1 Tb 2.81
Br 0.3918 0.7404 0.7463  2 Li 2.76-2.89, 1 Ag 2.79, 1 Tb 2.85
Ag 0.8070 0.8073 0.5785  6 Br 2.79-3.10
Li 0.0065 0.0064 0.9808  6 Br 2.76-2.81
Br 0.9126 0.6042 0.2449  2 Li 2.73-2.81, 1 Tb 2.81

Values from the calculation:
**Energy**: -35.40 eV per cell
**Density**: 4.56 g/cm³
**Crystal system**: trigonal
**SG**: No. 146
**Formation energy without anion corrections**: -32.415 kcal/mol of atoms
**DOS(E_F)**: 0.00 states/eV/f.u.

Record 2
# Cd2TeHSe

Cd2TeHSe after structural relaxation (PBE, the Alexandria database).

a b c (Å): 5.8309 5.5358 5.8309
angles (deg): 90.00 90.00 90.00
Closest atoms and distances in Å follow each position.
Positions (direct):
Te 0.0000 0.0000 0.0000  2 Se 2.77, 4 Cd 2.92
Se 0.0000 0.5000 0.0000  2 Te 2.77
Cd 0.0000 0.0000 0.5000  2 Te 2.92
H 0.5000 0.5000 0.5000  8 Cd 4.02, 4 Se 4.12
Cd 0.5000 0.0000 0.0000  2 Te 2.92

Values from the calculation:
**Energy**: -8.27 eV per cell
**Density**: 3.81 g/cm³
**Crystal system**: tetragonal
**SG**: No. 123
**DOS(E_F)**: 3.55 states/eV/f.u.

Record 3
# Pr4AgPBr2

Pr4AgPBr2 after structural relaxation (PBE, the Alexandria database).

a b c (Å): 4.2001 7.5699 7.6318
angles (deg): 107.72 90.00 90.00
Closest atoms and distances in Å follow each position.
Positions (direct):
Pr 0.0000 0.2788 0.7838  2 P 2.87, 1 Ag 3.05, 1 Br 3.11
Br 0.5000 0.0000 0.5000  6 Pr 3.24-3.28
Pr 0.5000 0.2520 0.2251  1 P 2.91, 2 Ag 3.00, 3 Br 3.15-3.24
Ag 0.0000 0.0000 0.0000  6 Pr 3.00-3.05
Pr 0.0000 0.7212 0.2162  2 P 2.87, 1 Ag 3.05, 1 Br 3.11
Br 0.0000 0.5000 0.5000  6 Pr 3.11-3.15
Pr 0.5000 0.7480 0.7749  1 P 2.91, 2 Ag 3.00, 3 Br 3.15-3.24
P 0.5000 0.5000 0.0000  6 Pr 2.87-2.91

Values from the calculation:
**Energy**: -39.10 eV per cell
**Density**: 6.19 g/cm³
**Crystal system**: monoclinic
**SG**: No. 10
**Formation energy without anion corrections**: -24.134 kcal/mol of atoms
**DOS(E_F)**: 5.36 states/eV/f.u.

Record 4
# Ag3SbCl2F6

Ag3SbCl2F6 after structural relaxation (PBE, the Alexandria database).

a b c (Å): 5.0265 7.1592 7.8484
angles (deg): 117.14 98.96 90.00
Closest atoms and distances in Å follow each position.
Positions (direct):
Cl 0.1940 0.6775 0.3549  3 Ag 2.46-2.50
Sb 0.5000 0.0000 0.0000  6 F 1.93
F 0.7235 0.2614 0.1375  1 Sb 1.93
Ag 0.5000 0.0000 0.5000  2 Cl 2.46
F 0.2765 0.7386 0.8625  1 Sb 1.93
F 0.2851 0.1015 0.2030  1 Sb 1.93
Ag 0.5000 0.5000 0.5000  2 Cl 2.46
Ag 0.0000 0.5000 0.0000  2 Cl 2.50
Cl 0.8060 0.3225 0.6451  3 Ag 2.46-2.50
F 0.2765 0.1239 0.8625  1 Sb 1.93
F 0.7149 0.8985 0.7970  1 Sb 1.93
F 0.7235 0.8761 0.1375  1 Sb 1.93

Values from the calculation:
**Energy**: -45.88 eV per cell
**Density**: 4.23 g/cm³
**Crystal system**: monoclinic
**SG**: No. 12
**Formation energy without anion corrections**: -35.126 kcal/mol of atoms
**DOS(E_F)**: 0.00 states/eV/f.u.

Record 5
# LiBe2Tc

LiBe2Tc after structural relaxation (PBE, the Alexandria database).

a b c (Å): 4.3624 4.3624 4.3624
angles (deg): 134.16 134.16 66.85
Closest atoms and distances in Å follow each position.
Positions (direct):
Li 0.5000 0.5000 0.0000  8 Be 2.40-2.49, 4 Tc 2.49
Be 0.0000 0.0000 0.0000  4 Li 2.40, 4 Be 2.49, 4 Tc 2.49
Be 0.2500 0.7500 0.5000  4 Tc 2.40, 4 Li 2.49, 4 Be 2.49
Tc 0.7500 0.2500 0.5000  8 Be 2.40-2.49, 4 Li 2.49

Values from the calculation:
**Energy**: -19.21 eV per cell
**Density**: 4.86 g/cm³
**Crystal system**: tetragonal
**SG**: No. 119
**DOS(E_F)**: 1.06 states/eV/f.u.
**ΔE_f**: 0.13 eV/atom
**Energy above the most stable polymorph in this dataset**: 0.725 eV/f.u.

Record 6
# RbCoAsPd

RbCoAsPd after structural relaxation (PBE, the Alexandria database).

a b c (Å): 3.7673 3.7673 13.0783
angles (deg): 90.00 90.00 90.00
Closest atoms and distances in Å follow each position.
Positions (direct):
As 0.7500 0.7500 0.8976  4 Co 2.31
Rb 0.2500 0.2500 0.7192  4 Pd 3.43, 4 As 3.54, 4 Rb 3.77
Co 0.7500 0.2500 0.0000  4 As 2.31
Co 0.2500 0.7500 0.0000  4 As 2.31
As 0.2500 0.2500 0.1024  4 Co 2.31
Rb 0.7500 0.7500 0.2808  4 Pd 3.43, 4 As 3.54, 4 Rb 3.77
Pd 0.7500 0.2500 0.5000  4 Pd 2.66
Pd 0.2500 0.7500 0.5000  4 Pd 2.66

Values from the calculation:
**Energy**: -37.18 eV per cell
**Density**: 5.83 g/cm³
**Crystal system**: tetragonal
**SG**: No. 129
**DOS(E_F)**: 2.34 states/eV/f.u.
**ΔE_f**: -0.17 eV/atom

Record 7
# SmLuPd

SmLuPd after structural relaxation (PBE, the Alexandria database).

a b c (Å): 3.5428 3.5428 6.5774
angles (deg): 105.62 105.62 90.00
Closest atoms and distances in Å follow each position.
Positions (direct):
Sm 0.0216 0.0216 0.0431  4 Pd 3.15, 1 Lu 3.38
Lu 0.2996 0.2996 0.5991  4 Pd 2.90
Pd 0.6789 0.6789 0.3577  4 Lu 2.90, 4 Sm 3.15

Values from the calculation:
**Energy**: -16.10 eV per cell
**Density**: 9.39 g/cm³
**Crystal system**: tetragonal
**SG**: No. 107
**DOS(E_F)**: 2.68 states/eV/f.u.
**ΔE_f**: -0.55 eV/atom
**Energy above the most stable polymorph in this dataset**: 0.000 eV/f.u.

Record 8
# IrRuBr

IrRuBr after structural relaxation (PBE, the Alexandria database).

a b c (Å): 4.3026 4.3026 4.3026
angles (deg): 60.00 60.00 60.00
Closest atoms and distances in Å follow each position.
Positions (direct):
Ir 0.5000 0.5000 0.5000  4 Ru 2.63
Br 0.0000 0.0000 0.0000  4 Ru 2.63
Ru 0.2500 0.2500 0.2500  4 Br 2.63, 4 Ir 2.63

Values from the calculation:
**Energy**: -16.71 eV per cell
**Density**: 11.00 g/cm³
**Crystal system**: cubic
**SG**: No. 216
**Formation energy without anion corrections**: 23.807 kcal/mol of atoms
**DOS(E_F)**: 2.06 states/eV/f.u.
**Energy above the most stable polymorph in this dataset**: 0.887 eV/f.u.